(1)
Density functional theory data (PBE) for an optimized crystal structure of Li5ZrO4.

Summary:
* space group: No. 12
* energy relative to the lowest polymorph listed for this composition: 0 meV per atom

Lattice parameters (Å, degrees): 3.118 6.048 6.765 99.93 103.33 90.00
Sites, in units of the cell vectors:
Zr 0.500 0.000 0.000
O 0.338 0.927 0.676
O 0.001 0.245 0.002
O 0.999 0.755 0.998
O 0.662 0.073 0.324
Li 0.500 0.500 0.000
Li 0.185 0.880 0.370
Li 0.815 0.120 0.630
Li 0.162 0.284 0.325
Li 0.838 0.716 0.675

---

(2)
Density functional theory data (PBE) for an optimized crystal structure of LiZr2O4.

Summary:
* space group: No. 141
* energy relative to the lowest polymorph listed for this composition: 24 meV per atom

Lattice parameters (Å, degrees): 6.442 6.442 6.442 119.90 119.90 90.18
Sites, in units of the cell vectors:
Li 0.000 0.000 0.000
Li 0.250 0.750 0.500
O 0.863 0.139 0.276
O 0.389 0.613 0.776
O 0.861 0.137 0.724
O 0.837 0.613 0.224
O 0.387 0.163 0.776
O 0.387 0.611 0.224
O 0.413 0.137 0.276
O 0.863 0.587 0.724
Zr 0.625 0.375 0.250
Zr 0.625 0.375 0.750
Zr 0.125 0.375 0.750
Zr 0.625 0.875 0.250

---

(3)
Density functional theory data (PBE) for an optimized crystal structure of Li2ZrO3.

Summary:
* space group: No. 71

Lattice parameters (Å, degrees): 3.169 4.225 9.309 90.00 90.00 90.00
Sites, in units of the cell vectors:
O 0.500 0.250 0.500
O 0.500 0.250 0.846
O 0.000 0.750 0.346
O 0.000 0.750 0.000
O 0.500 0.250 0.154
O 0.000 0.750 0.654
Li 0.500 0.750 0.172
Li 0.000 0.250 0.328
Li 0.500 0.750 0.828
Li 0.000 0.250 0.672
Zr 0.500 0.750 0.500
Zr 0.000 0.250 0.000

---

(4)
Density functional theory data (PBE) for an optimized crystal structure of Li5Zr3O12.

Summary:
* space group: No. 230

Lattice parameters (Å, degrees): 10.559 10.559 10.559 109.47 109.47 109.47
Each line ends with the local moment (μB).
Sites, in units of the cell vectors:
Zr 0.375 0.750 0.625  -0.08
Zr 0.125 0.250 0.875  -0.08
Zr 0.875 0.125 0.250  -0.08
Zr 0.625 0.250 0.375  -0.08
Zr 0.250 0.125 0.375  -0.08
Zr 0.750 0.375 0.125  -0.08
Zr 0.625 0.375 0.750  -0.08
Zr 0.750 0.875 0.625  -0.08
Zr 0.875 0.750 0.125  -0.08
Zr 0.250 0.625 0.875  -0.08
Zr 0.375 0.625 0.250  -0.08
Zr 0.125 0.875 0.750  -0.08
Li 0.750 0.125 0.875  0.01
Li 0.875 0.625 0.750  0.01
Li 0.000 0.000 0.500  0.03
Li 0.250 0.875 0.125  0.01
Li 0.250 0.375 0.625  0.01
Li 0.125 0.375 0.250  0.01
Li 0.625 0.750 0.875  0.01
Li 0.000 0.500 0.500  0.03
Li 0.500 0.500 0.500  0.03
Li 0.750 0.625 0.375  0.01
Li 0.500 0.000 0.000  0.03
Li 0.875 0.250 0.625  0.01
Li 0.125 0.750 0.375  0.01
Li 0.500 0.000 0.500  0.03
Li 0.000 0.000 0.000  0.03
Li 0.375 0.250 0.125  0.01
Li 0.000 0.500 0.000  0.03
Li 0.375 0.125 0.750  0.01
Li 0.500 0.500 0.000  0.03
Li 0.625 0.875 0.250  0.01
O 0.087 0.903 0.145  0.51
O 0.403 0.258 0.316  0.51
O 0.058 0.413 0.816  0.51
O 0.558 0.242 0.145  0.51
O 0.184 0.087 0.942  0.51
O 0.442 0.684 0.087  0.51
O 0.742 0.597 0.184  0.51
O 0.587 0.645 0.403  0.51
O 0.587 0.942 0.684  0.51
O 0.645 0.587 0.903  0.51
O 0.903 0.087 0.645  0.51
O 0.597 0.855 0.413  0.51
O 0.942 0.587 0.184  0.51
O 0.242 0.684 0.097  0.51
O 0.903 0.816 0.758  0.51
O 0.145 0.742 0.558  0.51
O 0.442 0.758 0.855  0.51
O 0.913 0.816 0.558  0.51
O 0.413 0.058 0.316  0.51
O 0.184 0.097 0.742  0.51
O 0.145 0.403 0.087  0.51
O 0.058 0.645 0.742  0.51
O 0.855 0.597 0.913  0.51
O 0.242 0.558 0.645  0.51
O 0.316 0.758 0.403  0.51
O 0.316 0.558 0.413  0.51
O 0.816 0.903 0.258  0.51
O 0.816 0.913 0.058  0.51
O 0.097 0.913 0.355  0.51
O 0.413 0.355 0.597  0.51
O 0.087 0.184 0.442  0.51
O 0.355 0.942 0.758  0.51
O 0.645 0.058 0.242  0.51
O 0.758 0.316 0.903  0.51
O 0.684 0.242 0.597  0.51
O 0.742 0.145 0.058  0.51
O 0.942 0.355 0.258  0.51
O 0.855 0.258 0.442  0.51
O 0.558 0.316 0.913  0.51
O 0.355 0.413 0.097  0.51
O 0.913 0.097 0.855  0.51
O 0.597 0.742 0.684  0.51
O 0.097 0.184 0.242  0.51
O 0.258 0.403 0.816  0.51
O 0.684 0.442 0.587  0.51
O 0.758 0.442 0.355  0.51
O 0.403 0.145 0.587  0.51
O 0.258 0.855 0.942  0.51

---

(5)
Density functional theory data (PBE) for an optimized crystal structure of Li4Zr3O8.

Summary:
* space group: No. 13
* energy relative to the lowest polymorph listed for this composition: 0 meV per atom

Lattice parameters (Å, degrees): 6.227 5.428 10.179 78.62 90.00 90.00
Sites, in units of the cell vectors:
Li 0.370 0.737 0.498
Li 0.886 0.000 0.750
Li 0.114 0.000 0.250
Li 0.163 0.500 0.750
Li 0.370 0.263 0.002
Li 0.837 0.500 0.250
Li 0.630 0.737 0.998
Li 0.630 0.263 0.502
O 0.640 0.655 0.384
O 0.129 0.115 0.878
O 0.640 0.345 0.116
O 0.628 0.894 0.627
O 0.101 0.369 0.112
O 0.360 0.655 0.884
O 0.871 0.115 0.378
O 0.372 0.106 0.373
O 0.899 0.631 0.888
O 0.101 0.631 0.388
O 0.871 0.885 0.122
O 0.899 0.369 0.612
O 0.628 0.106 0.873
O 0.372 0.894 0.127
O 0.129 0.885 0.622
O 0.360 0.345 0.616
Zr 0.862 0.732 0.524
Zr 0.862 0.268 0.976
Zr 0.138 0.268 0.476
Zr 0.598 0.000 0.250
Zr 0.138 0.732 0.024
Zr 0.402 0.000 0.750

---

(6)
Density functional theory data (PBE) for an optimized crystal structure of LiZr2O4.

Summary:
* space group: No. 62
* energy relative to the lowest polymorph listed for this composition: 0 meV per atom

Lattice parameters (Å, degrees): 5.176 6.099 10.851 90.00 90.00 90.00
Sites, in units of the cell vectors:
O 0.217 0.250 0.565
O 0.727 0.986 0.671
O 0.227 0.014 0.829
O 0.794 0.250 0.895
O 0.717 0.750 0.935
O 0.273 0.486 0.329
O 0.227 0.486 0.829
O 0.273 0.014 0.329
O 0.783 0.750 0.435
O 0.294 0.750 0.605
O 0.283 0.250 0.065
O 0.706 0.250 0.395
O 0.727 0.514 0.671
O 0.773 0.986 0.171
O 0.206 0.750 0.105
O 0.773 0.514 0.171
Zr 0.500 0.500 0.500
Zr 0.469 0.750 0.782
Zr 0.969 0.250 0.718
Zr 0.531 0.250 0.218
Zr 0.031 0.750 0.282
Zr 0.000 0.500 0.000
Zr 0.500 0.000 0.500
Zr 0.000 0.000 0.000
Li 0.060 0.250 0.396
Li 0.940 0.750 0.604
Li 0.560 0.750 0.104
Li 0.440 0.250 0.896

---

no.,calculated total energy (eV/atom),ΔE_f (raw) (eV per atom)
1,-5.9022,-2.107
2,-8.4026,-2.854
3,-7.2218,-2.680
4,-6.6435,-1.908
5,-7.6421,-2.778
6,-8.4262,-2.877